Record 1
# RbGa3Re, single point on PBEsol structure, DFT meta-GGA SCAN
# M_tot: 0.67 μB per atom
# space-group type: Pm-3m, No. 221
# relative energy among the computed polymorphs: 2678 meV/atom
# formation energy: 2.55 eV per atom
data_RbGa3Re
_cell_length_a 5.339
_cell_length_b 5.339
_cell_length_c 5.339
_cell_angle_alpha 90.00
_cell_angle_beta 90.00
_cell_angle_gamma 90.00
_space_group_name_H-M_alt 'P 1'
_space_group_IT_number 1
loop_
_space_group_symop_operation_xyz
'x,y,z'
loop_
_atom_site_label
_atom_site_fract_x
_atom_site_fract_y
_atom_site_fract_z
Rb1 0.000 0.000 0.000
Ga1 0.000 0.000 0.500
Ga2 0.000 0.500 0.000
Ga3 0.500 0.000 0.000
Re1 0.500 0.500 0.500

=====

Record 2
# Cs2MnI2, single point on PBEsol structure, DFT meta-GGA SCAN
# total DFT energy (no corrections): -2.5078 Ry per atom
# M_tot: 1.00 μB per atom
# space-group type: I4/mmm, No. 139
data_Cs2MnI2
_cell_length_a 7.925
_cell_length_b 7.925
_cell_length_c 7.925
_cell_angle_alpha 126.54
_cell_angle_beta 126.54
_cell_angle_gamma 79.00
_space_group_name_H-M_alt 'P 1'
_space_group_IT_number 1
loop_
_space_group_symop_operation_xyz
'x,y,z'
loop_
_atom_site_label
_atom_site_fract_x
_atom_site_fract_y
_atom_site_fract_z
Cs1 0.180 0.180 0.000
Cs2 0.820 0.820 0.000
Mn1 0.500 0.500 0.000
I1 0.250 0.750 0.500
I2 0.750 0.250 0.500